No. 1
## Nb2Se9 (PBEsol)

Data for a geometry-optimized Nb2Se9 structure.

POSCAR file:
```
Nb2Se9
1.0
8.0792 0.0000 0.0000
-0.2553 8.3273 0.0000
-0.7496 -1.2699 8.2658
Nb Se
4 18
Cartesian
0.5538 1.0390 0.8472 Nb
2.9261 2.9133 2.9741 Nb
4.1482 4.1440 5.2917 Nb
6.5204 6.0183 7.4186 Nb
-0.2236 3.9748 6.4397 Se
0.3684 6.7861 1.4351 Se
0.5039 1.8502 3.4390 Se
0.7049 -0.7693 6.6737 Se
1.5992 3.4918 0.7232 Se
1.8969 4.9976 4.2529 Se
3.1293 0.6210 1.5235 Se
3.2491 1.6767 5.2926 Se
2.9791 4.4261 7.6247 Se
4.0952 2.6312 0.6411 Se
3.8251 5.3806 2.9732 Se
3.9449 6.4363 6.7423 Se
5.1773 2.0598 4.0129 Se
5.4750 3.5656 7.5426 Se
6.3693 7.8267 1.5921 Se
6.5704 5.2071 4.8268 Se
6.7058 0.2713 6.8307 Se
7.2979 3.0826 1.8261 Se
```

Computed properties:
Calculated volume = 25.3 Å³/atom
Final energy = -61.886 eV per formula unit
Spin magnetization = 0.000 μB/cell


No. 2
## NbSiSe3 (PBEsol)

Data for a geometry-optimized NbSiSe3 structure.

POSCAR file:
```
NbSiSe3
1.0
4.9713 0.0000 0.0000
0.0000 4.9713 0.0000
0.0000 0.0000 4.9713
Nb Si Se
1 1 3
Cartesian
0.0000 0.0000 0.0000 Nb
2.4857 2.4857 2.4857 Si
0.0000 0.0000 2.4857 Se
0.0000 2.4857 0.0000 Se
2.4857 0.0000 0.0000 Se
```

Computed properties:
Calculated volume = 24.6 Å³/atom
Fermi-level density of states = 4.65 states/eV/f.u.
Final energy = -26.799 eV per formula unit
Spin magnetization = 0.007 μB/cell


No. 3
## NbSi3Se (PBEsol)

Data for a geometry-optimized NbSi3Se structure.

POSCAR file:
```
NbSi3Se
1.0
4.6017 0.0000 0.0000
0.0000 4.6017 0.0000
0.0000 0.0000 4.6017
Nb Si Se
1 3 1
Cartesian
0.0000 0.0000 0.0000 Nb
0.0000 2.3008 2.3008 Si
2.3008 0.0000 2.3008 Si
2.3008 2.3008 0.0000 Si
2.3008 2.3008 2.3008 Se
```

Computed properties:
Calculated volume = 19.5 Å³/atom
Fermi-level density of states = 4.31 states/eV/f.u.
Final energy = -25.713 eV per formula unit
Spin magnetization = 0.000 μB/cell


Which of these has the highest spin magnetization?
NbSiSe3